(w)
{"formula": "PmSmGaRu", "functional": "PBE-GGA", "state": "relaxed", "m_tot_mub_per_atom": 0.000, "vol_a3_per_atom": 22.83, "cell": [[0.000, 3.574, 3.574], [3.574, 0.000, 3.574], [3.574, 3.574, 0.000]], "species": ["Pm", "Sm", "Ga", "Ru"], "fractional_positions": [[0.000, 0.000, 0.000], [0.500, 0.500, 0.500], [0.750, 0.750, 0.750], [0.250, 0.250, 0.250]]}



(x)
{"formula": "PmSmGaRu", "functional": "PBE-GGA", "state": "relaxed", "m_tot_mub_per_atom": 0.000, "vol_a3_per_atom": 24.18, "cell": [[4.362, 0.000, 0.000], [0.000, 2.022, 5.482], [0.000, -2.022, 5.482]], "species": ["Pm", "Sm", "Ga", "Ru"], "fractional_positions": [[0.000, 0.000, 0.000], [0.500, 0.280, 0.280], [0.500, 0.575, 0.575], [0.000, 0.702, 0.702]]}



(x) comes first in stability; the runner-up is 0.080 eV/atom higher.



(w)
{"formula": "PmThGaRu", "functional": "PBE-GGA", "state": "relaxed", "m_tot_mub_per_atom": 0.000, "vol_a3_per_atom": 24.14, "cell": [[3.867, 0.000, 0.000], [0.000, 2.101, 5.943], [0.000, -2.101, 5.943]], "species": ["Pm", "Th", "Ga", "Ru"], "fractional_positions": [[0.000, 0.000, 0.000], [0.500, 0.277, 0.277], [0.500, 0.581, 0.581], [0.000, 0.737, 0.737]]}



(x)
{"formula": "PmThGaRu", "functional": "PBE-GGA", "state": "relaxed", "m_tot_mub_per_atom": 0.000, "vol_a3_per_atom": 23.43, "cell": [[0.000, 3.605, 3.605], [3.605, 0.000, 3.605], [3.605, 3.605, 0.000]], "species": ["Pm", "Th", "Ga", "Ru"], "fractional_positions": [[0.000, 0.000, 0.000], [0.500, 0.500, 0.500], [0.250, 0.250, 0.250], [0.750, 0.750, 0.750]]}



(w) comes first in stability; the runner-up is 0.243 eV/atom higher.